First-principles (SCAN) data for a crystal of Ba2PIO4 relaxed with PBEsol, as listed in the Alexandria database.

Cell lengths 9.419, 9.251, 8.848 Å; angles 90.00, 112.04, 90.00 degrees
Space group P2_1/c (No. 14)
Asymmetric unit:
Ba: 0.157 0.193 0.041 [4 per cell]
Ba: 0.250 0.672 0.951 [4 per cell]
P: 0.038 0.556 0.239 [4 per cell]
I: 0.497 0.078 0.755 [4 per cell]
O: 0.066 0.104 0.708 [4 per cell]
O: 0.098 0.583 0.426 [4 per cell]
O: 0.119 0.666 0.165 [4 per cell]
O: 0.138 0.085 0.334 [4 per cell]

- DOS(E_F): 0.000 states/eV/atom
- Formation energy (no corrections): -2984 meV per atom



First-principles (SCAN) data for a crystal of YTi2IrBr relaxed with PBEsol, as listed in the Alexandria database.

Cell lengths 4.710, 4.710, 5.579 Å; angles 90.00, 90.00, 90.00 degrees
Space group P4/mmm (No. 123)
Asymmetric unit:
Y: 0.000 0.000 0.000 [1 per cell]
Ti: 0.000 0.500 0.500 [2 per cell]
Ir: 0.000 0.000 0.500 [1 per cell]
Br: 0.500 0.500 0.000 [1 per cell]

- DOS(E_F): 0.602 states/eV/atom
- Formation energy (no corrections): -256 meV per atom



First-principles (SCAN) data for a crystal of SrTe2P relaxed with PBEsol, as listed in the Alexandria database.

Cell lengths 4.0818, 4.0818, 28.0168 Å; angles 90.00, 90.00, 120.00 degrees
Space group R-3m (No. 166, hexagonal axes)
Asymmetric unit:
Sr: 0.0000 0.0000 0.0000 [3 per cell]
Te: 0.0000 0.0000 0.1138 [6 per cell]
P: 0.0000 0.0000 0.5000 [3 per cell]

- DOS(E_F): 0.349 states/eV/atom
- Formation energy (no corrections): -23 meV per atom
- Energy above the lowest structure with this stoichiometry: 70.78 kJ/mol of atoms



First-principles (SCAN) data for a crystal of SrTlBr2 relaxed with PBEsol, as listed in the Alexandria database.

Cell lengths 7.804, 7.804, 7.804 Å; angles 90.00, 90.00, 90.00 degrees
Space group F-43m (No. 216)
Asymmetric unit:
Sr: 0.000 0.000 0.000 [4 per cell]
Tl: 0.250 0.250 0.750 [4 per cell]
Br: 0.000 0.000 0.500 [4 per cell]
Br: 0.250 0.250 0.250 [4 per cell]

- DOS(E_F): 0.621 states/eV/atom
- Formation energy (no corrections): -971 meV per atom



First-principles (SCAN) data for a crystal of LiRe2NiOs relaxed with PBEsol, as listed in the Alexandria database.

Cell lengths 4.063, 4.063, 3.799 Å; angles 90.00, 90.00, 90.00 degrees
Space group P4/mmm (No. 123)
Asymmetric unit:
Li: 0.000 0.000 0.000 [1 per cell]
Re: 0.000 0.500 0.000 [2 per cell]
Ni: 0.000 0.000 0.500 [1 per cell]
Os: 0.500 0.500 0.500 [1 per cell]

- VASP energy: -226.63 eV/cell
- DOS(E_F): 0.655 states/eV/atom



First-principles (SCAN) data for a crystal of LiMg3 relaxed with PBEsol, as listed in the Alexandria database.

Cell lengths 3.013, 4.846, 5.888 Å; angles 90.00, 101.98, 90.00 degrees
Space group P2/m (No. 10)
Asymmetric unit:
Li: 0.000 0.000 0.000 [1 per cell]
Mg: 0.201 0.500 0.759 [2 per cell]
Mg: 0.500 0.000 0.500 [1 per cell]

- VASP energy: -17.43 eV/cell
- DOS(E_F): 0.332 states/eV/atom



First-principles (SCAN) data for a crystal of CoSi3Rh relaxed with PBEsol, as listed in the Alexandria database.

Cell lengths 4.495, 4.495, 4.495 Å; angles 90.00, 90.00, 90.00 degrees
Space group Pm-3m (No. 221)
Asymmetric unit:
Co: 0.000 0.000 0.000 [1 per cell]
Si: 0.000 0.500 0.500 [3 per cell]
Rh: 0.500 0.500 0.500 [1 per cell]

- DOS(E_F): 0.552 states/eV/atom
- Formation energy (no corrections): 805 meV per atom



First-principles (SCAN) data for a crystal of CoRh2 relaxed with PBEsol, as listed in the Alexandria database.

Cell lengths 4.511, 7.783, 4.535 Å; angles 90.00, 109.87, 90.00 degrees
Space group C2/c (No. 15)
Asymmetric unit:
Co: 0.000 0.080 0.250 [4 per cell]
Rh: 0.000 0.244 0.750 [4 per cell]
Rh: 0.000 0.418 0.250 [4 per cell]

- VASP energy: -338.56 eV/cell
- DOS(E_F): 1.098 states/eV/atom



First-principles (SCAN) data for a crystal of KMn2Te relaxed with PBEsol, as listed in the Alexandria database.

Cell lengths 7.170, 7.170, 7.170 Å; angles 90.00, 90.00, 90.00 degrees
Space group F-43m (No. 216)
Asymmetric unit:
K: 0.000 0.000 0.000 [4 per cell]
Mn: 0.000 0.000 0.500 [4 per cell]
Mn: 0.250 0.250 0.750 [4 per cell]
Te: 0.250 0.250 0.250 [4 per cell]

- DOS(E_F): 0.949 states/eV/atom
- Formation energy (no corrections): 362 meV per atom



First-principles (SCAN) data for a crystal of BaSi2Mo relaxed with PBEsol, as listed in the Alexandria database.

Cell lengths 7.272, 7.696, 2.907 Å; angles 90.00, 103.45, 90.00 degrees
Space group C2/m (No. 12)
Asymmetric unit:
Ba: 0.000 0.000 0.000 [2 per cell]
Si: 0.250 0.250 0.500 [4 per cell]
Mo: 0.000 0.500 0.000 [2 per cell]

- DOS(E_F): 0.400 states/eV/atom
- Formation energy (no corrections): 872 meV per atom
- Energy above the lowest structure with this stoichiometry: 76.93 kJ/mol of atoms



First-principles (SCAN) data for a crystal of ZnClF3 relaxed with PBEsol, as listed in the Alexandria database.

Cell lengths 4.000, 4.000, 4.000 Å; angles 90.00, 90.00, 90.00 degrees
Space group Pm-3m (No. 221)
Asymmetric unit:
Zn: 0.000 0.000 0.000 [1 per cell]
Cl: 0.500 0.500 0.500 [1 per cell]
F: 0.000 0.000 0.500 [3 per cell]

- DOS(E_F): 0.552 states/eV/atom
- Formation energy (no corrections): -1242 meV per atom
- Energy above the lowest structure with this stoichiometry: 0.00 kJ/mol of atoms



First-principles (SCAN) data for a crystal of Zn3SiI relaxed with PBEsol, as listed in the Alexandria database.

Cell lengths 5.204, 5.204, 5.204 Å; angles 90.00, 90.00, 90.00 degrees
Space group Pm-3m (No. 221)
Asymmetric unit:
Zn: 0.000 0.000 0.500 [3 per cell]
Si: 0.500 0.500 0.500 [1 per cell]
I: 0.000 0.000 0.000 [1 per cell]

- DOS(E_F): 0.630 states/eV/atom
- Formation energy (no corrections): 1405 meV per atom



First-principles (SCAN) data for a crystal of YCdSe2N relaxed with PBEsol, as listed in the Alexandria database.

Cell lengths 5.443, 5.443, 4.342 Å; angles 90.00, 90.00, 90.00 degrees
Space group P4/mmm (No. 123)
Asymmetric unit:
Y: 0.000 0.000 0.000 [1 per cell]
Cd: 0.500 0.500 0.500 [1 per cell]
Se: 0.000 0.500 0.000 [2 per cell]
N: 0.000 0.000 0.500 [1 per cell]

- DOS(E_F): 0.352 states/eV/atom
- Formation energy (no corrections): -101 meV per atom



First-principles (SCAN) data for a crystal of Ca3InI relaxed with PBEsol, as listed in the Alexandria database.

Cell lengths 5.697, 5.697, 5.697 Å; angles 90.00, 90.00, 90.00 degrees
Space group Pm-3m (No. 221)
Asymmetric unit:
Ca: 0.000 0.000 0.500 [3 per cell]
In: 0.500 0.500 0.500 [1 per cell]
I: 0.000 0.000 0.000 [1 per cell]

- DOS(E_F): 0.388 states/eV/atom
- Formation energy (no corrections): -209 meV per atom



First-principles (SCAN) data for a crystal of Li8FeO5F relaxed with PBEsol, as listed in the Alexandria database.

Cell lengths 5.288, 5.349, 5.800 Å; angles 91.25, 115.15, 116.37 degrees
Space group P1 (No. 1)
Asymmetric unit:
Li: 0.000 0.000 0.000 [1 per cell]
Li: 0.032 0.163 0.627 [1 per cell]
Li: 0.173 0.441 0.347 [1 per cell]
Li: 0.397 0.877 0.640 [1 per cell]
Li: 0.519 0.116 0.335 [1 per cell]
Li: 0.574 0.326 0.955 [1 per cell]
Li: 0.674 0.539 0.615 [1 per cell]
Li: 0.847 0.743 0.324 [1 per cell]
Fe: 0.197 0.591 0.944 [1 per cell]
O: 0.096 0.866 0.738 [1 per cell]
O: 0.143 0.751 0.223 [1 per cell]
O: 0.398 0.543 0.737 [1 per cell]
O: 0.434 0.411 0.214 [1 per cell]
O: 0.781 0.244 0.744 [1 per cell]
F: 0.813 0.080 0.255 [1 per cell]

- DOS(E_F): 0.000 states/eV/atom
- Formation energy (no corrections): -2113 meV per atom



First-principles (SCAN) data for a crystal of MnOF relaxed with PBEsol, as listed in the Alexandria database.

Cell lengths 4.490, 5.048, 11.179 Å; angles 89.56, 88.17, 89.98 degrees
Space group P1 (No. 1)
Asymmetric unit:
Mn: 0.000 0.000 0.000 [1 per cell]
Mn: 0.006 0.504 0.849 [1 per cell]
Mn: 0.480 0.938 0.247 [1 per cell]
Mn: 0.494 0.440 0.098 [1 per cell]
Mn: 0.508 0.495 0.598 [1 per cell]
Mn: 0.531 0.951 0.751 [1 per cell]
Mn: 0.946 0.998 0.494 [1 per cell]
Mn: 0.980 0.498 0.346 [1 per cell]
O: 0.276 0.617 0.231 [1 per cell]
O: 0.282 0.122 0.115 [1 per cell]
O: 0.296 0.650 0.737 [1 per cell]
O: 0.729 0.816 0.614 [1 per cell]
O: 0.761 0.332 0.481 [1 per cell]
O: 0.761 0.813 0.361 [1 per cell]
O: 0.791 0.318 0.982 [1 per cell]
O: 0.797 0.827 0.868 [1 per cell]
F: 0.223 0.693 0.486 [1 per cell]
F: 0.224 0.169 0.370 [1 per cell]
F: 0.257 0.680 0.983 [1 per cell]
F: 0.266 0.172 0.857 [1 per cell]
F: 0.272 0.165 0.615 [1 per cell]
F: 0.739 0.256 0.235 [1 per cell]
F: 0.751 0.757 0.112 [1 per cell]
F: 0.755 0.285 0.732 [1 per cell]

- DOS(E_F): 0.158 states/eV/atom
- Formation energy (no corrections): -2438 meV per atom



First-principles (SCAN) data for a crystal of Zr2ScZn relaxed with PBEsol, as listed in the Alexandria database.

Cell lengths 3.241, 4.808, 10.439 Å; angles 90.00, 90.00, 90.00 degrees
Space group Immm (No. 71)
Asymmetric unit:
Zr: 0.000 0.000 0.221 [4 per cell]
Sc: 0.000 0.500 0.000 [2 per cell]
Zn: 0.000 0.500 0.500 [2 per cell]

- VASP energy: -179.58 eV/cell
- DOS(E_F): 0.817 states/eV/atom



First-principles (SCAN) data for a crystal of LiSbTe2 relaxed with PBEsol, as listed in the Alexandria database.

Cell lengths 4.289, 4.289, 5.943 Å; angles 90.00, 90.00, 90.00 degrees
Space group P4/mmm (No. 123)
Asymmetric unit:
Li: 0.000 0.000 0.000 [1 per cell]
Sb: 0.500 0.500 0.500 [1 per cell]
Te: 0.000 0.000 0.500 [1 per cell]
Te: 0.500 0.500 0.000 [1 per cell]

- DOS(E_F): 0.276 states/eV/atom
- Formation energy (no corrections): -439 meV per atom



First-principles (SCAN) data for a crystal of KLa2Hg relaxed with PBEsol, as listed in the Alexandria database.

Cell lengths 3.7410, 3.7410, 35.0793 Å; angles 90.00, 90.00, 120.00 degrees
Space group R3m (No. 160, hexagonal axes)
Asymmetric unit:
K: 0.0000 0.0000 0.0000 [3 per cell]
La: 0.0000 0.0000 0.2276 [3 per cell]
La: 0.0000 0.0000 0.4797 [3 per cell]
Hg: 0.0000 0.0000 0.7438 [3 per cell]

- VASP energy: -488.93 eV/cell
- DOS(E_F): 0.982 states/eV/atom



First-principles (SCAN) data for a crystal of Ca2AlCo relaxed with PBEsol, as listed in the Alexandria database.

Cell lengths 3.3800, 3.3800, 27.4630 Å; angles 90.00, 90.00, 120.00 degrees
Space group R-3m (No. 166, hexagonal axes)
Asymmetric unit:
Ca: 0.0000 0.0000 0.2380 [6 per cell]
Al: 0.0000 0.0000 0.0000 [3 per cell]
Co: 0.0000 0.0000 0.5000 [3 per cell]

- VASP energy: -128.23 eV/cell
- DOS(E_F): 0.524 states/eV/atom



First-principles (SCAN) data for a crystal of TlBiN2 relaxed with PBEsol, as listed in the Alexandria database.

Cell lengths 3.3930, 3.3930, 21.6271 Å; angles 90.00, 90.00, 120.00 degrees
Space group R-3m (No. 166, hexagonal axes)
Asymmetric unit:
Tl: 0.0000 0.0000 0.0000 [3 per cell]
Bi: 0.0000 0.0000 0.5000 [3 per cell]
N: 0.0000 0.0000 0.1127 [6 per cell]

- DOS(E_F): 0.440 states/eV/atom
- Formation energy (no corrections): 1106 meV per atom
- Energy above the lowest structure with this stoichiometry: 0.00 kJ/mol of atoms



First-principles (SCAN) data for a crystal of NaNiP2Cl relaxed with PBEsol, as listed in the Alexandria database.

Cell lengths 4.787, 4.787, 4.695 Å; angles 90.00, 90.00, 90.00 degrees
Space group P4/mmm (No. 123)
Asymmetric unit:
Na: 0.000 0.000 0.000 [1 per cell]
Ni: 0.500 0.500 0.500 [1 per cell]
P: 0.000 0.500 0.000 [2 per cell]
Cl: 0.000 0.000 0.500 [1 per cell]

- DOS(E_F): 1.020 states/eV/atom
- Formation energy (no corrections): 1416 meV per atom



First-principles (SCAN) data for a crystal of Sc5P3 relaxed with PBEsol, as listed in the Alexandria database.

Cell lengths 7.6342, 7.6342, 5.5009 Å; angles 90.00, 90.00, 120.00 degrees
Space group P6_3/mcm (No. 193)
Asymmetric unit:
Sc: 0.0000 0.2514 0.2500 [6 per cell]
Sc: 0.3333 0.6667 0.0000 [4 per cell]
P: 0.0000 0.3864 0.7500 [6 per cell]

- VASP energy: -225.74 eV/cell
- DOS(E_F): 0.757 states/eV/atom



First-principles (SCAN) data for a crystal of YTa2As relaxed with PBEsol, as listed in the Alexandria database.

Cell lengths 3.972, 3.972, 9.831 Å; angles 90.00, 90.00, 90.00 degrees
Space group I4/mmm (No. 139)
Asymmetric unit:
Y: 0.000 0.000 0.000 [2 per cell]
Ta: 0.000 0.500 0.250 [4 per cell]
As: 0.000 0.000 0.500 [2 per cell]

- VASP energy: -362.01 eV/cell
- DOS(E_F): 1.035 states/eV/atom



First-principles (SCAN) data for a crystal of CsY2S2 relaxed with PBEsol, as listed in the Alexandria database.

Cell lengths 5.090, 5.090, 11.352 Å; angles 90.00, 90.00, 90.00 degrees
Space group I4/mmm (No. 139)
Asymmetric unit:
Cs: 0.000 0.000 0.000 [2 per cell]
Y: 0.000 0.000 0.334 [4 per cell]
S: 0.000 0.500 0.250 [4 per cell]

- DOS(E_F): 0.693 states/eV/atom
- Formation energy (no corrections): -1432 meV per atom